Entry from Alexandria via LeMat-Bulk: crystalline NdErTh at its relaxed geometry (PBE-GGA).

Lattice parameters (Å, degrees): 3.6044 3.6044 7.9846 103.04 103.04 90.00
Fractional positions:
1 Nd 0.9945 0.9945 0.9890
2 Th 0.3308 0.3308 0.6616
3 Er 0.6747 0.6747 0.3494

**Distance to the lowest polymorph of the same formula**: 0.17 kJ per mole of atoms
**VASP energy**: -5.550 eV/atom
**Space-group type**: I4mm (107)


Entry from Alexandria via LeMat-Bulk: crystalline Nd5ErTh2 at its relaxed geometry (PBE-GGA).

Lattice parameters (Å, degrees): 3.5571 11.4352 8.9949 129.47 101.44 90.00
Fractional positions:
1 Nd 0.0000 0.5000 0.0000
2 Nd 0.6290 0.3901 0.2597
3 Nd 0.3710 0.6099 0.7403
4 Nd 0.6290 0.8696 0.2597
5 Nd 0.3710 0.1304 0.7403
6 Er 0.0000 0.0000 0.0000
7 Th 0.2584 0.7586 0.5172
8 Th 0.7416 0.2414 0.4828

**VASP energy**: -5.298 eV/atom
**Space-group type**: Immm (71)


Entry from Alexandria via LeMat-Bulk: crystalline Nd9Er2Th at its relaxed geometry (PBE-GGA).

Lattice parameters (Å, degrees): 5.1517 5.1517 15.4612 90.00 90.00 90.00
Fractional positions:
1 Nd 0.5000 0.5000 0.0000
2 Nd 0.5000 0.5000 0.3356
3 Nd 0.5000 0.5000 0.6644
4 Nd 0.5000 0.0000 0.1653
5 Nd 0.5000 0.0000 0.5000
6 Nd 0.5000 0.0000 0.8347
7 Nd 0.0000 0.5000 0.1653
8 Nd 0.0000 0.5000 0.5000
9 Nd 0.0000 0.5000 0.8347
10 Er 0.0000 0.0000 0.3341
11 Er 0.0000 0.0000 0.6659
12 Th 0.0000 0.0000 0.0000

**VASP energy**: -4.922 eV/atom
**Space-group type**: P4/mmm (123)


Entry from Alexandria via LeMat-Bulk: crystalline Nd7Er12Th at its relaxed geometry (PBE-GGA).

Lattice parameters (Å, degrees): 8.7417 8.7417 8.7417 89.00 89.00 89.00
Fractional positions:
1 Nd 0.8376 0.6192 0.9543
2 Nd 0.3808 0.0457 0.1624
3 Nd 0.0457 0.1624 0.3808
4 Nd 0.5000 0.5000 0.5000
5 Nd 0.9543 0.8376 0.6192
6 Nd 0.6192 0.9543 0.8376
7 Nd 0.1624 0.3808 0.0457
8 Er 0.8658 0.2856 0.7440
9 Er 0.7144 0.2560 0.1342
10 Er 0.6164 0.1482 0.5016
11 Er 0.8518 0.4984 0.3836
12 Er 0.2560 0.1342 0.7144
13 Er 0.4984 0.3836 0.8518
14 Er 0.5016 0.6164 0.1482
15 Er 0.7440 0.8658 0.2856
16 Er 0.1482 0.5016 0.6164
17 Er 0.3836 0.8518 0.4984
18 Er 0.2856 0.7440 0.8658
19 Er 0.1342 0.7144 0.2560
20 Th 0.0000 0.0000 0.0000

**VASP energy**: -4.542 eV/atom
**Space-group type**: R-3 (148)


Entry from Alexandria via LeMat-Bulk: crystalline Nd2Er6Th at its relaxed geometry (PBE-GGA).

Lattice parameters (Å, degrees): 8.9590 8.8753 8.8753 82.60 64.97 64.97
Fractional positions:
1 Nd 0.0736 0.5976 0.7854
2 Nd 0.4264 0.2146 0.4024
3 Nd 0.9264 0.4024 0.2146
4 Nd 0.5736 0.7854 0.5976
5 Er 0.4517 0.6044 0.3425
6 Er 0.0483 0.6575 0.3956
7 Er 0.5483 0.3956 0.6575
8 Er 0.9517 0.3425 0.6044
9 Er 0.8585 0.0512 0.3872
10 Er 0.6415 0.6128 0.9488
11 Er 0.1415 0.9488 0.6128
12 Er 0.3585 0.3872 0.0512
13 Er 0.1878 0.8130 0.9909
14 Er 0.3122 0.0091 0.1870
15 Er 0.8122 0.1870 0.0091
16 Er 0.6878 0.9909 0.8130
17 Th 0.2500 0.1745 0.8255
18 Th 0.7500 0.8255 0.1745

**Distance to the lowest polymorph of the same formula**: 2.95 kJ per mole of atoms
**VASP energy**: -4.829 eV/atom
**Space-group type**: C2/c (15)


Entry from Alexandria via LeMat-Bulk: crystalline Nd4Er5Th2 at its relaxed geometry (PBE-GGA).

Lattice parameters (Å, degrees): 3.5000 11.5978 10.9938 121.83 99.16 90.00
Fractional positions:
1 Nd 0.0000 0.2634 0.0000
2 Nd 0.5916 0.5916 0.1833
3 Nd 0.0000 0.7366 0.0000
4 Nd 0.4084 0.4084 0.8167
5 Er 0.8190 0.1110 0.6379
6 Er 0.8190 0.5269 0.6379
7 Er 0.1810 0.4731 0.3621
8 Er 0.1810 0.8890 0.3621
9 Er 0.5000 0.0000 0.0000
10 Th 0.2011 0.2011 0.4021
11 Th 0.7989 0.7989 0.5979

**Distance to the lowest polymorph of the same formula**: 18.45 kJ per mole of atoms
**VASP energy**: -4.891 eV/atom
**Space-group type**: Immm (71)


Entry from Alexandria via LeMat-Bulk: crystalline Nd7Er4Th at its relaxed geometry (PBE-GGA).

Lattice parameters (Å, degrees): 6.0941 9.7847 8.5974 60.57 69.24 71.86
Fractional positions:
1 Nd 0.7918 0.8832 0.5331
2 Nd 0.2082 0.1168 0.4669
3 Nd 0.0850 0.5566 0.2734
4 Nd 0.9150 0.4434 0.7266
5 Nd 0.2153 0.7589 0.8105
6 Nd 0.5000 0.0000 0.0000
7 Nd 0.7847 0.2411 0.1895
8 Er 0.5697 0.3040 0.5566
9 Er 0.4303 0.6960 0.4434
10 Er 0.6694 0.6225 0.0386
11 Er 0.3306 0.3775 0.9614
12 Th 0.0000 0.0000 0.0000

**Distance to the lowest polymorph of the same formula**: 21.47 kJ per mole of atoms
**VASP energy**: -4.682 eV/atom
**Space-group type**: C2/m (12)


Entry from Alexandria via LeMat-Bulk: crystalline Nd12Er2Th at its relaxed geometry (PBE-GGA).

Lattice parameters (Å, degrees): 6.8484 6.8484 25.1221 90.00 90.00 63.16
Fractional positions:
1 Nd 0.5000 0.5000 0.8000
2 Nd 0.0000 0.0000 0.8000
3 Nd 0.7512 0.7488 0.8730
4 Nd 0.2518 0.7518 0.9261
5 Nd 0.0000 0.0000 0.3245
6 Nd 0.2482 0.7482 0.0739
7 Nd 0.7740 0.2740 0.5600
8 Nd 0.5000 0.5000 0.3245
9 Nd 0.2488 0.2512 0.8730
10 Nd 0.7488 0.7512 0.1270
11 Nd 0.2682 0.2318 0.5866
12 Nd 0.7260 0.2260 0.4400
13 Nd 0.0000 0.0000 0.6755
14 Nd 0.2318 0.2682 0.4134
15 Nd 0.2512 0.2488 0.1270
16 Nd 0.7682 0.7318 0.4134
17 Nd 0.7318 0.7682 0.5866
18 Nd 0.0000 0.0000 0.2000
19 Nd 0.2260 0.7260 0.5600
20 Nd 0.5000 0.5000 0.6755
21 Nd 0.7482 0.2482 0.9261
22 Nd 0.5000 0.5000 0.2000
23 Nd 0.2740 0.7740 0.4400
24 Nd 0.7518 0.2518 0.0739
25 Er 0.5000 0.0000 0.2704
26 Er 0.0000 0.5000 0.2667
27 Er 0.0000 0.5000 0.7296
28 Er 0.5000 0.0000 0.7333
29 Th 0.5000 0.0000 0.0009
30 Th 0.0000 0.5000 0.9991

**VASP energy**: -4.744 eV/atom
**Space-group type**: Cmme (67)